# 1
# TaTeOs2

An optimized crystal structure of TaTeOs2 (PBE, the Alexandria database).

Values from the calculation:
formation energy from raw total energies: 0.473 eV/atom
DOS at the Fermi energy: 1.02 states/eV/atom
V: 72.1 Å³/cell

Unit cell a=2.993 b=3.793 c=6.352 alpha=90.00 beta=90.00 gamma=90.00
Atoms (fractional coordinates):
Ta  0.000  0.000  0.000
Te  0.500  0.500  0.287
Os  0.000  0.000  0.593
Os  0.500  0.500  0.754

=====

# 2
# TaTeOs2

An optimized crystal structure of TaTeOs2 (PBE, the Alexandria database).

Values from the calculation:
formation energy from raw total energies: 0.680 eV/atom
DOS at the Fermi energy: 1.34 states/eV/atom
V: 272.6 Å³/cell

Unit cell a=6.484 b=6.484 c=6.484 alpha=90.00 beta=90.00 gamma=90.00
Atoms (fractional coordinates):
Ta  0.000  0.000  0.000
Ta  0.000  0.500  0.500
Ta  0.500  0.000  0.500
Ta  0.500  0.500  0.000
Te  0.250  0.250  0.250
Te  0.250  0.750  0.750
Te  0.750  0.250  0.750
Te  0.750  0.750  0.250
Os  0.000  0.000  0.500
Os  0.000  0.500  0.000
Os  0.250  0.250  0.750
Os  0.250  0.750  0.250
Os  0.500  0.000  0.000
Os  0.500  0.500  0.500
Os  0.750  0.250  0.250
Os  0.750  0.750  0.750

=====

# 3
# TaTeOs

An optimized crystal structure of TaTeOs (PBE, the Alexandria database).

Values from the calculation:
formation energy from raw total energies: 0.363 eV/atom
DOS at the Fermi energy: 0.72 states/eV/atom
V: 53.9 Å³/cell

Unit cell a=4.516 b=4.516 c=3.050 alpha=90.00 beta=90.00 gamma=120.00
Atoms (fractional coordinates):
Ta  0.000  0.000  0.000
Te  0.667  0.333  0.499
Os  0.333  0.667  0.507

=====

# 4
# TaTeOs2

An optimized crystal structure of TaTeOs2 (PBE, the Alexandria database).

Values from the calculation:
formation energy from raw total energies: 0.461 eV/atom
DOS at the Fermi energy: 0.82 states/eV/atom
V: 136.8 Å³/cell

Unit cell a=6.000 b=7.284 c=3.130 alpha=90.00 beta=90.00 gamma=90.00
Atoms (fractional coordinates):
Ta  0.000  0.000  0.000
Ta  0.500  0.500  0.000
Te  0.000  0.500  0.000
Te  0.500  0.000  0.000
Os  0.250  0.250  0.500
Os  0.250  0.750  0.500
Os  0.750  0.250  0.500
Os  0.750  0.750  0.500

=====

# 5
# TaTeOs2

An optimized crystal structure of TaTeOs2 (PBE, the Alexandria database).

Values from the calculation:
formation energy from raw total energies: 0.569 eV/atom
DOS at the Fermi energy: 0.87 states/eV/atom
V: 144.5 Å³/cell

Unit cell a=3.198 b=4.905 c=9.208 alpha=90.00 beta=90.00 gamma=90.00
Atoms (fractional coordinates):
Ta  0.000  0.000  0.000
Ta  0.500  0.500  0.000
Te  0.000  0.000  0.500
Te  0.500  0.500  0.500
Os  0.000  0.500  0.222
Os  0.000  0.500  0.778
Os  0.500  0.000  0.222
Os  0.500  0.000  0.778

=====

# 6
# TaTeOs2

An optimized crystal structure of TaTeOs2 (PBE, the Alexandria database).

Values from the calculation:
formation energy from raw total energies: 0.552 eV/atom
DOS at the Fermi energy: 0.89 states/eV/atom
V: 69.3 Å³/cell

Unit cell a=4.703 b=4.703 c=3.136 alpha=90.00 beta=90.00 gamma=90.00
Atoms (fractional coordinates):
Ta  0.000  0.000  0.000
Te  0.500  0.500  0.000
Os  0.000  0.500  0.500
Os  0.500  0.000  0.500

=====

# 7
# TaTeOs2

An optimized crystal structure of TaTeOs2 (PBE, the Alexandria database).

Values from the calculation:
formation energy from raw total energies: 0.419 eV/atom
DOS at the Fermi energy: 0.65 states/eV/atom
V: 140.0 Å³/cell

Unit cell a=9.144 b=3.128 c=5.011 alpha=90.00 beta=102.37 gamma=90.00
Atoms (fractional coordinates):
Ta  0.000  0.000  0.000
Ta  0.500  0.500  0.000
Te  0.000  0.500  0.500
Te  0.500  0.000  0.500
Os  0.236  0.500  0.217
Os  0.264  0.000  0.783
Os  0.736  0.000  0.217
Os  0.764  0.500  0.783

=====

# 8
# TaTeOs2

An optimized crystal structure of TaTeOs2 (PBE, the Alexandria database).

Values from the calculation:
formation energy from raw total energies: 0.525 eV/atom
DOS at the Fermi energy: 1.12 states/eV/atom
V: 134.5 Å³/cell

Unit cell a=3.946 b=3.946 c=8.639 alpha=90.00 beta=90.00 gamma=90.00
Atoms (fractional coordinates):
Ta  0.000  0.000  0.000
Ta  0.500  0.500  0.500
Te  0.000  0.500  0.750
Te  0.500  0.000  0.250
Os  0.000  0.000  0.500
Os  0.000  0.500  0.250
Os  0.500  0.000  0.750
Os  0.500  0.500  0.000

=====

Q: Number 3 is which compound?
A: TaTeOs

=====

Please write out number 3 again, unchanged.
# TaTeOs

An optimized crystal structure of TaTeOs (PBE, the Alexandria database).

Values from the calculation:
formation energy from raw total energies: 0.363 eV/atom
DOS at the Fermi energy: 0.72 states/eV/atom
V: 53.9 Å³/cell

Unit cell a=4.516 b=4.516 c=3.050 alpha=90.00 beta=90.00 gamma=120.00
Atoms (fractional coordinates):
Ta  0.000  0.000  0.000
Te  0.667  0.333  0.499
Os  0.333  0.667  0.507